First-principles (PBE with a Hubbard U) data for a geometry-optimized Li2CrP2O6 structure, as listed in Alexandria.

CIF file:
```
data_Li2CrP2O6
_chemical_formula_sum 'Li2 Cr1 P2 O6'
_cell_length_a 5.1680
_cell_length_b 5.1680
_cell_length_c 5.4553
_cell_angle_alpha 90.00
_cell_angle_beta 90.00
_cell_angle_gamma 120.00
_symmetry_space_group_name_H-M 'P -3'
_symmetry_Int_Tables_number 147
_symmetry_space_group_name_Hall '-P 3'
loop_
_atom_site_label
_atom_site_type_symbol
_atom_site_fract_x
_atom_site_fract_y
_atom_site_fract_z
_atom_site_occupancy
Li1 Li 0.3333 0.6667 0.3450 1
Cr1 Cr 0.0000 0.0000 0.0000 1
P1 P 0.3333 0.6667 0.8801 1
O1 O 0.0929 0.7407 0.7662 1
```

Results
- DOS at the Fermi energy: 0.30 states/eV/atom
- Magnetic moment: 4.02 μB per formula unit
- Total energy: -6.50 eV per atom